(1)
## Ca2CeCd (PBE-GGA)

Data for a geometry-optimized Ca2CeCd structure.

Geometry as POSCAR:
```
Ca2CeCd
1.0
3.6147 0.0000 0.0000
0.0000 3.6147 0.0000
0.0000 0.0000 9.9750
Ca Ce Cd
2 1 1
direct
0.0000 0.0000 0.2110
0.0000 0.0000 0.7890
0.5000 0.5000 0.5000
0.5000 0.5000 0.0000
```

Computed properties:
- relative energy among the computed polymorphs (eV per formula unit) = 0.000
- space-group type = P4/mmm (123)
- crystal system = tetragonal



(2)
## CeCdGaGe (PBE-GGA)

Data for a geometry-optimized CeCdGaGe structure.

Geometry as POSCAR:
```
CeCdGaGe
1.0
0.0000 3.5211 3.5211
3.5211 0.0000 3.5211
3.5211 3.5211 0.0000
Ce Cd Ga Ge
1 1 1 1
direct
0.0000 0.0000 0.0000
0.5000 0.5000 0.5000
0.2500 0.2500 0.2500
0.7500 0.7500 0.7500
```

Computed properties:
- space-group type = F-43m (216)
- crystal system = cubic



(3)
## GaPRh (PBE-GGA)

Data for a geometry-optimized GaPRh structure.

Geometry as POSCAR:
```
GaPRh
1.0
4.7072 0.0000 0.0000
-2.1033 4.3182 0.0000
-1.3897 -1.6665 4.7244
Ga P Rh
2 2 2
direct
0.0000 0.0000 0.0000
0.2869 0.4659 0.6886
0.6030 0.9298 0.4298
0.6105 0.2686 0.1871
0.0493 0.7899 0.4529
0.7796 0.3751 0.8266
```

Computed properties:
- relative energy among the computed polymorphs (eV per formula unit) = 0.220
- space-group type = P1 (1)
- crystal system = triclinic



(4)
## Mg3AgHg4 (PBE-GGA)

Data for a geometry-optimized Mg3AgHg4 structure.

Geometry as POSCAR:
```
Mg3AgHg4
1.0
10.1801 0.0000 0.0000
0.0000 6.4911 0.0000
0.0000 0.0000 5.0943
Mg Ag Hg
6 2 8
direct
0.0000 0.0000 0.0000
0.2500 0.0000 0.4441
0.2500 0.5000 0.4311
0.5000 0.0000 0.0000
0.7500 0.0000 0.5559
0.7500 0.5000 0.5689
0.0000 0.5000 0.0000
0.5000 0.5000 0.0000
0.0000 0.2484 0.5000
0.0000 0.7516 0.5000
0.2500 0.2491 0.9405
0.2500 0.7509 0.9405
0.5000 0.2484 0.5000
0.5000 0.7516 0.5000
0.7500 0.2491 0.0595
0.7500 0.7509 0.0595
```

Computed properties:
- space-group type = Pmma (51)
- crystal system = orthorhombic



| no. | calculated formation energy (eV/atom) | V (Å³ per cell) |
| --- | --- | --- |
| 1 | -0.004 | 130 |
| 2 | -0.316 | 87 |
| 3 | -0.391 | 96 |
| 4 | -0.153 | 337 |